First-principles (GGA-PBE) data for an optimized crystal structure of Er2ThSc5, as listed in the Alexandria database.

Computed properties:
The formation energy is 1.1 kcal/mol of atoms. For the energy above the lowest structure with this stoichiometry, the calculation gives 16.0 meV per atom. As for the space group: Pbam, No. 55. The total magnetic moment is 0.0 Bohr magnetons per cell.

```
Er2ThSc5
1.0
4.808 0.000 0.000
0.000 6.681 0.000
0.000 0.000 13.392
Er Th Sc
4 2 10
direct
0.500 0.258 0.627 Er
0.500 0.742 0.373 Er
0.500 0.242 0.127 Er
0.500 0.758 0.873 Er
0.000 0.000 0.500 Th
0.000 0.500 0.000 Th
0.000 0.000 0.000 Sc
0.000 0.500 0.500 Sc
0.000 0.511 0.750 Sc
0.000 0.489 0.250 Sc
0.000 0.989 0.250 Sc
0.000 0.011 0.750 Sc
0.500 0.260 0.876 Sc
0.500 0.740 0.124 Sc
0.500 0.240 0.376 Sc
0.500 0.760 0.624 Sc
```

---

First-principles (GGA-PBE) data for an optimized crystal structure of GeBiP2Cl, as listed in the Alexandria database.

Computed properties:
For the energy above the lowest structure with this stoichiometry, the calculation gives 0.0 meV per atom. As for the space group: P4/mmm, No. 123. The total magnetic moment is 0.0 Bohr magnetons per cell. Its energy relative to the elements, uncorrected is 0.41 eV per atom.

```
GeBiP2Cl
1.0
-2.215 -0.930 -4.216
-0.121 -4.724 1.105
-4.233 0.598 2.092
P Ge Bi Cl
2 1 1 1
direct
0.000 0.500 0.000 P
0.500 0.000 0.000 P
0.000 0.000 0.000 Ge
0.500 0.500 0.500 Bi
0.000 0.000 0.500 Cl
```

---

First-principles (GGA-PBE) data for an optimized crystal structure of IrRh2, as listed in the Alexandria database.

Computed properties:
The formation energy is -0.3 kcal/mol of atoms. For the energy above the lowest structure with this stoichiometry, the calculation gives 2.1 meV per atom. As for the space group: I4_1/amd, No. 141. The total magnetic moment is 0.0 Bohr magnetons per cell.

```
IrRh2
1.0
-0.254 -2.662 2.775
2.692 -2.108 -1.776
7.002 7.840 5.487
Ir Rh
4 8
direct
0.084 0.084 0.168 Ir
0.916 0.916 0.832 Ir
0.334 0.834 0.668 Ir
0.166 0.666 0.332 Ir
0.250 0.250 0.501 Rh
0.750 0.750 0.499 Rh
0.500 0.000 0.001 Rh
0.000 0.500 0.999 Rh
0.416 0.416 0.833 Rh
0.584 0.584 0.167 Rh
0.666 0.166 0.333 Rh
0.834 0.334 0.667 Rh
```